1.
A PBEsol-optimized structure of TaWAu2, computed with meta-GGA SCAN.

SG = No. 99
polymorph energy (0 for the lowest one) = 0.13 kcal/mol of atoms
calculated density = 18942 kg/m3

Lattice parameters (Å, degrees): 2.794 2.794 8.517 90.00 90.00 90.00
Element x y z (fractional)
Au  0.000  0.000  0.991
Au  0.500  0.500  0.255
Ta  0.000  0.000  0.498
W  0.500  0.500  0.756

=====

2.
A PBEsol-optimized structure of KOsPb2, computed with meta-GGA SCAN.

SG = No. 25
polymorph energy (0 for the lowest one) = 1.95 kcal/mol of atoms
calculated density = 9068 kg/m3

Lattice parameters (Å, degrees): 3.238 4.283 8.499 90.00 90.00 90.00
Element x y z (fractional)
K  0.000  0.000  0.505
Os  0.500  0.500  0.892
Pb  0.000  0.000  0.897
Pb  0.500  0.500  0.207

=====

3.
A PBEsol-optimized structure of BaSiW2, computed with meta-GGA SCAN.

SG = No. 65
raw formation energy = 1.821 eV/atom
polymorph energy (0 for the lowest one) = 23.80 kcal/mol of atoms
calculated density = 11289 kg/m3

Lattice parameters (Å, degrees): 2.763 5.638 5.638 116.79 90.00 90.00
Element x y z (fractional)
Ba  0.500  0.000  0.000
Si  0.500  0.500  0.500
W  0.000  0.500  0.000
W  0.000  0.000  0.500

=====

4.
A PBEsol-optimized structure of LiInHg2, computed with meta-GGA SCAN.

SG = No. 216
calculated density = 10259 kg/m3
total DFT energy (no corrections) = -172.8 eV/cell

Lattice parameters (Å, degrees): 4.928 4.928 4.928 60.00 60.00 60.00
Element x y z (fractional)
In  0.500  0.500  0.500
Hg  0.000  0.000  0.000
Hg  0.250  0.250  0.250
Li  0.750  0.750  0.750

=====

5.
A PBEsol-optimized structure of BaMoPt2, computed with meta-GGA SCAN.

SG = No. 47
polymorph energy (0 for the lowest one) = 0.00 kcal/mol of atoms
calculated density = 12773 kg/m3

Lattice parameters (Å, degrees): 2.916 3.645 7.624 90.00 90.00 90.00
Element x y z (fractional)
Ba  0.500  0.500  0.000
Mo  0.500  0.500  0.500
Pt  0.000  0.000  0.680
Pt  0.000  0.000  0.320

=====

6.
A PBEsol-optimized structure of InGaAu3, computed with meta-GGA SCAN.

SG = No. 221
calculated density = 9617 kg/m3
total DFT energy (no corrections) = -254.8 eV/cell

Lattice parameters (Å, degrees): 5.116 5.116 5.116 90.00 90.00 90.00
Element x y z (fractional)
Au  0.000  0.500  0.000
Au  0.000  0.000  0.500
Au  0.500  0.000  0.000
Ga  0.500  0.500  0.500
In  0.000  0.000  0.000

=====

7.
A PBEsol-optimized structure of Cd3NiIr, computed with meta-GGA SCAN.

SG = No. 221
calculated density = 7619 kg/m3
total DFT energy (no corrections) = -173.4 eV/cell

Lattice parameters (Å, degrees): 5.042 5.042 5.042 90.00 90.00 90.00
Last column: magnetic moment on the atom in μB.
Element x y z (fractional)
Ni  0.500  0.500  0.500  0.95
Ir  0.000  0.000  0.000  0.03
Cd  0.000  0.500  0.000  0.00
Cd  0.000  0.000  0.500  0.00
Cd  0.500  0.000  0.000  0.00

=====

8.
A PBEsol-optimized structure of Li2CaZn2, computed with meta-GGA SCAN.

SG = No. 139
calculated density = 3020 kg/m3
total DFT energy (no corrections) = -42.4 eV/cell

Lattice parameters (Å, degrees): 4.092 4.092 6.724 107.71 107.71 90.00
Element x y z (fractional)
Zn  0.397  0.397  0.794
Zn  0.603  0.603  0.206
Ca  0.000  0.000  0.000
Li  0.250  0.750  0.500
Li  0.750  0.250  0.500

=====

9.
A PBEsol-optimized structure of LuMg2Cr3S8, computed with meta-GGA SCAN.

SG = No. 166
raw formation energy = -1.485 eV/atom
calculated density = 3908 kg/m3

Lattice parameters (Å, degrees): 7.237 7.237 7.278 60.18 60.18 60.00
Last column: magnetic moment on the atom in μB.
Element x y z (fractional)
Lu  0.500  0.500  0.500  0.04
Mg  0.875  0.875  0.375  0.01
Mg  0.125  0.125  0.625  0.01
Cr  0.000  0.500  0.000  2.91
Cr  0.500  0.500  0.000  2.91
Cr  0.500  0.000  0.000  2.91
S  0.736  0.736  0.793  -0.06
S  0.718  0.247  0.787  -0.03
S  0.247  0.718  0.787  -0.03
S  0.247  0.247  0.787  -0.03
S  0.753  0.282  0.213  -0.03
S  0.753  0.753  0.213  -0.03
S  0.264  0.264  0.207  -0.06
S  0.282  0.753  0.213  -0.03

=====

10.
A PBEsol-optimized structure of CsSO2F, computed with meta-GGA SCAN.

SG = No. 62
raw formation energy = -1.975 eV/atom
calculated density = 3464 kg/m3

Lattice parameters (Å, degrees): 6.634 7.935 7.867 90.00 90.00 90.00
Element x y z (fractional)
Cs  0.750  0.888  0.645
Cs  0.250  0.112  0.355
Cs  0.750  0.612  0.145
Cs  0.250  0.388  0.855
S  0.750  0.135  0.061
S  0.250  0.865  0.939
S  0.750  0.365  0.561
S  0.250  0.635  0.439
O  0.066  0.765  0.906
O  0.566  0.235  0.094
O  0.934  0.265  0.594
O  0.434  0.735  0.406
O  0.434  0.765  0.906
O  0.934  0.235  0.094
O  0.066  0.735  0.406
O  0.566  0.265  0.594
F  0.250  0.506  0.255
F  0.750  0.494  0.745
F  0.750  0.006  0.245
F  0.250  0.994  0.755

=====

11.
A PBEsol-optimized structure of Os3RhI, computed with meta-GGA SCAN.

SG = No. 221
raw formation energy = 3.131 eV/atom
calculated density = 12915 kg/m3

Lattice parameters (Å, degrees): 4.686 4.686 4.686 90.00 90.00 90.00
Last column: magnetic moment on the atom in μB.
Element x y z (fractional)
I  0.000  0.000  0.000  -0.01
Rh  0.500  0.500  0.500  1.32
Os  0.000  0.500  0.000  0.05
Os  0.000  0.000  0.500  0.05
Os  0.500  0.000  0.000  0.05

=====

12.
A PBEsol-optimized structure of TaTiGe2, computed with meta-GGA SCAN.

SG = No. 225
calculated density = 9782 kg/m3
total DFT energy (no corrections) = -121.4 eV/cell

Lattice parameters (Å, degrees): 4.478 4.478 4.478 60.00 60.00 60.00
Element x y z (fractional)
Ge  0.250  0.250  0.250
Ge  0.750  0.750  0.750
Ti  0.000  0.000  0.000
Ta  0.500  0.500  0.500